[1]
11
Lattice="7.1482 0.0000 2.1120 3.5741 6.4632 1.0560 0.2415 0.0000 7.8358" Properties=species:S:1:pos:R:3 comment="La6Pt3Br2 PBE relaxed" formation_energy_uncorrected_ev_per_atom=-1.17 vol_a3_per_cell=358.7 space_group=C2/m pbc="T T T"
Br 3.6948 4.2979 4.9739
Br 7.2689 2.1653 6.0299
Pt 3.5741 2.1936 1.0560
Pt 0.0000 0.0000 0.0000
Pt 7.1482 4.2696 2.1120
La 1.9128 2.1047 6.6860
La 5.4869 4.3586 7.7420
La 5.3985 0.0000 7.7282
La 5.4768 2.1047 3.2617
La 9.0509 4.3586 4.3177
La 1.9911 0.0000 2.2196


[2]
11
Lattice="-5.8177 -0.9470 1.0813 2.6272 -4.4786 -6.3676 4.7367 -4.0727 5.3370" Properties=species:S:1:pos:R:3 comment="Pm7TlSn3 PBE relaxed" vol_a3_per_cell=343.1 space_group=Immm e_form_ev_per_atom=-0.3670 pbc="T T T"
Pm 0.2678 -1.6173 0.0078
Pm 1.0755 -3.0443 3.1271
Pm 0.4708 -6.4541 -3.0764
Pm 3.6820 -4.2757 -0.5153
Pm 1.5920 -6.2383 3.1448
Pm -0.0457 -3.2600 -3.0941
Pm 1.2785 -7.8811 0.0429
Tl 0.7732 -4.7492 0.0254
Sn 3.1257 -4.3827 -3.6021
Sn 4.2383 -4.1686 2.5715
Sn -2.9088 -0.4735 0.5407


Please write out number 1 again, unchanged.
11
Lattice="7.1482 0.0000 2.1120 3.5741 6.4632 1.0560 0.2415 0.0000 7.8358" Properties=species:S:1:pos:R:3 comment="La6Pt3Br2 PBE relaxed" formation_energy_uncorrected_ev_per_atom=-1.17 vol_a3_per_cell=358.7 space_group=C2/m pbc="T T T"
Br 3.6948 4.2979 4.9739
Br 7.2689 2.1653 6.0299
Pt 3.5741 2.1936 1.0560
Pt 0.0000 0.0000 0.0000
Pt 7.1482 4.2696 2.1120
La 1.9128 2.1047 6.6860
La 5.4869 4.3586 7.7420
La 5.3985 0.0000 7.7282
La 5.4768 2.1047 3.2617
La 9.0509 4.3586 4.3177
La 1.9911 0.0000 2.2196